No. 1
This record from Alexandria describes crystalline Mn2SiNi6 at its relaxed geometry. The functional is PBE-GGA.

```
Mn2SiNi6
1.0
4.9244 0.0000 0.0000
-2.4622 4.2647 0.0000
0.0000 0.0000 5.2024
Mn Si Ni
2 1 6
Direct
0.3333 0.6667 0.3610
0.6667 0.3333 0.6390
0.0000 0.0000 0.5000
0.1737 0.3474 0.8171
0.1737 0.8263 0.8171
0.3474 0.1737 0.1829
0.6526 0.8263 0.8171
0.8263 0.1737 0.1829
0.8263 0.6526 0.1829
```

Calculated values
Magnetization = 0.99 μB/atom
Raw total energy = -6.579 eV per atom
ρ = 7.45 g cm⁻³

No. 2
This record from Alexandria describes crystalline Ba2GeBi at its relaxed geometry. The functional is PBE-GGA.

```
Ba2GeBi
1.0
9.2322 0.0000 0.0000
0.0000 10.0364 0.0000
-3.3335 0.0000 8.6158
Ba Ge Bi
8 4 4
Direct
0.2137 0.2442 0.1595
0.2137 0.2558 0.6595
0.2588 0.6603 0.3967
0.2588 0.8397 0.8967
0.7412 0.1603 0.1033
0.7412 0.3397 0.6033
0.7863 0.7442 0.3405
0.7863 0.7558 0.8405
0.1219 0.5556 0.0101
0.1219 0.9444 0.5101
0.8781 0.0556 0.4899
0.8781 0.4444 0.9899
0.0473 0.5755 0.6818
0.0473 0.9245 0.1818
0.9527 0.0755 0.8182
0.9527 0.4245 0.3182
```

Calculated values
Magnetization = 0.12 μB/atom
Distance to the lowest polymorph of the same formula = 146 meV per atom
ρ = 4.63 g cm⁻³
Calculated formation energy = -400 meV per atom

No. 3
This record from Alexandria describes crystalline CaCrHg at its relaxed geometry. The functional is PBE-GGA.

```
CaCrHg
1.0
4.8793 0.0000 0.0000
-2.4396 4.2256 0.0000
0.0000 0.0000 3.6873
Ca Cr Hg
1 1 1
Direct
0.0000 0.0000 0.0000
0.6667 0.3333 0.5009
0.3333 0.6667 0.4994
```

Calculated values
Magnetization = 1.52 μB/atom
Distance to the lowest polymorph of the same formula = 0 meV per atom
ρ = 6.39 g cm⁻³
Calculated formation energy = 169 meV per atom

No. 4
This record from Alexandria describes crystalline Sr6Si2Ag at its relaxed geometry. The functional is PBE-GGA.

```
Sr6Si2Ag
1.0
-5.2920 5.4043 5.7008
5.2920 -5.4043 5.7008
5.2920 5.4043 -5.7008
Sr Si Ag
12 4 2
Direct
0.0099 0.8204 0.1895
0.2353 0.5330 0.2977
0.2353 0.9375 0.7023
0.2785 0.3172 0.5958
0.2785 0.6828 0.9613
0.3691 0.1796 0.1895
0.6309 0.8204 0.8105
0.7215 0.3172 0.0387
0.7215 0.6828 0.4042
0.7647 0.0625 0.2977
0.7647 0.4670 0.7023
0.9901 0.1796 0.8105
0.0000 0.1230 0.1230
0.0000 0.8770 0.8770
0.3943 0.3943 0.0000
0.6057 0.6057 0.0000
0.0000 0.5000 0.5000
0.5000 0.0000 0.5000
```

Calculated values
Magnetization = 0.00 μB/atom
Raw total energy = -2.894 eV per atom
ρ = 3.51 g cm⁻³

No. 5
This record from Alexandria describes crystalline La12Co5Ag2 at its relaxed geometry. The functional is PBE-GGA.

```
La12Co5Ag2
1.0
8.3837 -3.6675 0.0000
8.3837 3.6675 0.0000
-2.9755 0.0000 8.8530
La Co Ag
12 5 2
Direct
0.0274 0.0274 0.2751
0.0509 0.5666 0.3678
0.1045 0.6112 0.9865
0.3888 0.8955 0.0135
0.4124 0.4124 0.7226
0.4334 0.9491 0.6322
0.5666 0.0509 0.3678
0.5876 0.5876 0.2774
0.6112 0.1045 0.9865
0.8955 0.3888 0.0135
0.9491 0.4334 0.6322
0.9726 0.9726 0.7249
0.1733 0.1733 0.3389
0.2292 0.2292 0.8491
0.5000 0.5000 0.0000
0.7708 0.7708 0.1509
0.8267 0.8267 0.6611
0.3117 0.6883 0.5000
0.6883 0.3117 0.5000
```

Calculated values
Magnetization = 0.00 μB/atom
ρ = 6.64 g cm⁻³
Calculated formation energy = -84 meV per atom

No. 6
This record from Alexandria describes crystalline AgOsPb2 at its relaxed geometry. The functional is PBE-GGA.

```
AgOsPb2
1.0
4.7135 0.0000 0.0000
0.0000 1.7143 5.3219
0.0000 -1.7143 5.3219
Ag Os Pb
1 1 2
Direct
0.0000 0.0000 0.0000
0.5000 0.1548 0.1548
0.0000 0.7290 0.7290
0.5000 0.4314 0.4314
```

Calculated values
Magnetization = 0.00 μB/atom
Distance to the lowest polymorph of the same formula = 17 meV per atom
ρ = 13.76 g cm⁻³
Calculated formation energy = 620 meV per atom

No. 7
This record from Alexandria describes crystalline Pa2P2N6Cl at its relaxed geometry. The functional is PBE-GGA.

```
Pa2P2N6Cl
1.0
5.7660 0.0000 0.0000
2.2201 5.5163 0.0000
2.3910 0.7328 5.6278
Pa P N Cl
2 2 6 1
Direct
0.0409 0.2928 0.2846
0.9591 0.7072 0.7154
0.4283 0.6693 0.2661
0.5717 0.3307 0.7339
0.2558 0.4865 0.3806
0.2740 0.4112 0.8991
0.2773 0.9142 0.3857
0.7227 0.0858 0.6143
0.7260 0.5888 0.1009
0.7442 0.5135 0.6194
0.0000 0.0000 0.0000
```

Calculated values
Magnetization = 0.09 μB/atom
Raw total energy = -8.322 eV per atom
ρ = 5.97 g cm⁻³

No. 8
This record from Alexandria describes crystalline LaDyY6Tm2 at its relaxed geometry. The functional is PBE-GGA.

```
LaDyY6Tm2
1.0
4.6484 -7.4971 0.0000
4.6484 7.4971 0.0000
-0.8461 0.0000 9.3938
La Dy Y Tm
2 2 12 4
Direct
0.0354 0.9646 0.7500
0.9646 0.0354 0.2500
0.4125 0.5875 0.2500
0.5875 0.4125 0.7500
0.0069 0.5537 0.6805
0.1177 0.7593 0.0577
0.2407 0.8823 0.4423
0.2923 0.5202 0.8892
0.4463 0.9931 0.8195
0.4798 0.7077 0.6108
0.5202 0.2923 0.3892
0.5537 0.0069 0.1805
0.7077 0.4798 0.1108
0.7593 0.1177 0.5577
0.8823 0.2407 0.9423
0.9931 0.4463 0.3195
0.2014 0.3043 0.5545
0.3043 0.2014 0.0545
0.6957 0.7986 0.9455
0.7986 0.6957 0.4455
```

Calculated values
Magnetization = 0.00 μB/atom
ρ = 5.95 g cm⁻³
Calculated formation energy = 120 meV per atom

No. 9
This record from Alexandria describes crystalline LiBiTe2Pb at its relaxed geometry. The functional is PBE-GGA.

```
LiBiTe2Pb
1.0
5.9869 0.0000 0.0000
0.0000 5.9869 0.0000
0.0000 0.0000 5.9569
Li Bi Te Pb
1 1 2 1
Direct
0.0000 0.0000 0.0000
0.5000 0.5000 0.0000
0.0000 0.5000 0.5000
0.5000 0.0000 0.5000
0.5000 0.5000 0.5000
```

Calculated values
Magnetization = 0.18 μB/atom
Raw total energy = -2.762 eV per atom
ρ = 5.28 g cm⁻³

No. 10
This record from Alexandria describes crystalline MnIn2Se at its relaxed geometry. The functional is PBE-GGA.

```
MnIn2Se
1.0
-1.6225 2.4278 5.7783
1.6225 -2.4278 5.7783
1.6225 2.4278 -5.7783
Mn In Se
1 2 1
Direct
0.0000 0.0000 0.0000
0.4657 0.4657 0.0000
0.7834 0.2834 0.5000
0.1596 0.6596 0.5000
```

Calculated values
Magnetization = 0.81 μB/atom
Raw total energy = -4.519 eV per atom
ρ = 6.63 g cm⁻³

No. 11
This record from Alexandria describes crystalline BaTl3Cl at its relaxed geometry. The functional is PBE-GGA.

```
BaTl3Cl
1.0
6.6737 0.0000 0.0000
0.0000 6.6737 0.0000
0.0000 0.0000 6.6737
Ba Tl Cl
1 3 1
Direct
0.0000 0.0000 0.0000
0.0000 0.0000 0.5000
0.0000 0.5000 0.0000
0.5000 0.0000 0.0000
0.5000 0.5000 0.5000
```

Calculated values
Magnetization = 0.02 μB/atom
Distance to the lowest polymorph of the same formula = 661 meV per atom
ρ = 4.39 g cm⁻³

No. 12
This record from Alexandria describes crystalline TmGaHg2 at its relaxed geometry. The functional is PBE-GGA.

```
TmGaHg2
1.0
3.2644 0.0000 0.0000
0.0000 4.7838 0.0000
-0.0330 0.0000 5.9319
Tm Ga Hg
1 1 2
Direct
0.0000 0.0000 0.0000
0.5000 0.0000 0.5000
0.4954 0.5000 0.7540
0.5046 0.5000 0.2460
```

Calculated values
Magnetization = 0.00 μB/atom
ρ = 11.47 g cm⁻³
Calculated formation energy = -226 meV per atom

No. 13
This record from Alexandria describes crystalline CuTePbN2 at its relaxed geometry. The functional is PBE-GGA.

```
CuTePbN2
1.0
4.1786 0.0000 0.0000
0.0000 4.1786 0.0000
0.0000 0.0000 5.8455
Cu Te Pb N
1 1 1 2
Direct
0.0000 0.0000 0.0000
0.5000 0.5000 0.5000
0.0000 0.0000 0.5000
0.0000 0.5000 0.0000
0.5000 0.0000 0.0000
```

Calculated values
Magnetization = 0.76 μB/atom
Distance to the lowest polymorph of the same formula = 85 meV per atom
ρ = 6.94 g cm⁻³

No. 14
This record from Alexandria describes crystalline LiBiH2 at its relaxed geometry. The functional is PBE-GGA.

```
LiBiH2
1.0
-2.4927 2.4927 4.5560
2.4927 -2.4927 4.5560
2.4927 2.4927 -4.5560
Li Bi H
2 2 4
Direct
0.0000 0.0000 0.0000
0.7500 0.2500 0.5000
0.2500 0.7500 0.5000
0.5000 0.5000 0.0000
0.0305 0.6250 0.9055
0.3750 0.2805 0.4055
0.7195 0.1250 0.0945
0.8750 0.9695 0.5945
```

Calculated values
Magnetization = 0.00 μB/atom
Distance to the lowest polymorph of the same formula = 0 meV per atom
ρ = 6.39 g cm⁻³

No. 15
This record from Alexandria describes crystalline Ag2BiPt2 at its relaxed geometry. The functional is PBE-GGA.

```
Ag2BiPt2
1.0
7.1555 0.0000 0.0000
0.0000 7.1555 0.0000
0.0000 0.0000 3.8794
Ag Bi Pt
4 2 4
Direct
0.1581 0.3419 0.0000
0.3419 0.8419 0.0000
0.6581 0.1581 0.0000
0.8419 0.6581 0.0000
0.0000 0.0000 0.5000
0.5000 0.5000 0.5000
0.1353 0.6353 0.5000
0.3647 0.1353 0.5000
0.6353 0.8647 0.5000
0.8647 0.3647 0.5000
```

Calculated values
Magnetization = 0.00 μB/atom
Distance to the lowest polymorph of the same formula = 0 meV per atom
ρ = 13.62 g cm⁻³
Calculated formation energy = 60 meV per atom

No. 16
This record from Alexandria describes crystalline Re2HgMo at its relaxed geometry. The functional is PBE-GGA.

```
Re2HgMo
1.0
4.0319 0.0000 0.0000
0.0000 4.0319 0.0000
0.0000 0.0000 3.9648
Re Hg Mo
2 1 1
Direct
0.0000 0.5000 0.0000
0.5000 0.0000 0.0000
0.0000 0.0000 0.5000
0.5000 0.5000 0.5000
```

Calculated values
Magnetization = 0.00 μB/atom
ρ = 17.23 g cm⁻³
Calculated formation energy = 662 meV per atom

No. 17
This record from Alexandria describes crystalline MnTl2Au at its relaxed geometry. The functional is PBE-GGA.

```
MnTl2Au
1.0
0.0000 3.5458 3.5458
3.5458 0.0000 3.5458
3.5458 3.5458 0.0000
Mn Tl Au
1 2 1
Direct
0.0000 0.0000 0.0000
0.2500 0.2500 0.2500
0.7500 0.7500 0.7500
0.5000 0.5000 0.5000
```

Calculated values
Magnetization = 1.04 μB/atom
Distance to the lowest polymorph of the same formula = 191 meV per atom
ρ = 12.30 g cm⁻³
Calculated formation energy = 333 meV per atom

No. 18
This record from Alexandria describes crystalline LaTcF2 at its relaxed geometry. The functional is PBE-GGA.

```
LaTcF2
1.0
1.5682 0.9054 7.8303
-1.5682 0.9054 7.8303
0.0000 -1.8108 7.8303
La Tc F
1 1 2
Direct
0.0000 0.0000 0.0000
0.5000 0.5000 0.5000
0.4091 0.4091 0.4091
0.5909 0.5909 0.5909
```

Calculated values
Magnetization = 0.43 μB/atom
Distance to the lowest polymorph of the same formula = 59 meV per atom
ρ = 6.84 g cm⁻³

No. 19
This record from Alexandria describes crystalline SrZnRu2 at its relaxed geometry. The functional is PBE-GGA.

```
SrZnRu2
1.0
2.1696 1.2526 5.4661
-2.1696 1.2526 5.4661
0.0000 -2.5052 5.4661
Sr Zn Ru
1 1 2
Direct
0.0000 0.0000 0.0000
0.1919 0.1919 0.1919
0.4827 0.4827 0.4827
0.8100 0.8100 0.8100
```

Calculated values
Magnetization = 0.00 μB/atom
ρ = 6.62 g cm⁻³
Calculated formation energy = 30 meV per atom

No. 20
This record from Alexandria describes crystalline LaTmLuZr at its relaxed geometry. The functional is PBE-GGA.

```
LaTmLuZr
1.0
0.0000 3.8824 3.8824
3.8824 0.0000 3.8824
3.8824 3.8824 0.0000
La Tm Lu Zr
1 1 1 1
Direct
0.0000 0.0000 0.0000
0.7500 0.7500 0.7500
0.2500 0.2500 0.2500
0.5000 0.5000 0.5000
```

Calculated values
Magnetization = 0.00 μB/atom
ρ = 8.14 g cm⁻³
Calculated formation energy = 182 meV per atom

No. 21
This record from Alexandria describes crystalline ScVMo2N at its relaxed geometry. The functional is PBE-GGA.

```
ScVMo2N
1.0
4.2784 0.0000 0.0000
0.0000 4.2784 0.0000
0.0000 0.0000 3.8985
Sc V Mo N
1 1 2 1
Direct
0.0000 0.0000 0.0000
0.5000 0.5000 0.0000
0.0000 0.5000 0.5000
0.5000 0.0000 0.5000
0.5000 0.5000 0.5000
```

Calculated values
Magnetization = 0.00 μB/atom
Raw total energy = -9.374 eV per atom
ρ = 7.02 g cm⁻³

No. 22
This record from Alexandria describes crystalline Zr2BeAuC at its relaxed geometry. The functional is PBE-GGA.

```
Zr2BeAuC
1.0
4.7143 0.0000 0.0000
0.0000 4.7143 0.0000
0.0000 0.0000 3.4857
Zr Be Au C
2 1 1 1
Direct
0.0000 0.5000 0.0000
0.5000 0.0000 0.0000
0.0000 0.0000 0.5000
0.5000 0.5000 0.5000
0.0000 0.0000 0.0000
```

Calculated values
Magnetization = 0.00 μB/atom
Distance to the lowest polymorph of the same formula = 93 meV per atom
ρ = 8.58 g cm⁻³
Calculated formation energy = -437 meV per atom

No. 23
This record from Alexandria describes crystalline CaYMgCd at its relaxed geometry. The functional is PBE-GGA.

```
CaYMgCd
1.0
0.0000 3.8184 3.8184
3.8184 0.0000 3.8184
3.8184 3.8184 0.0000
Ca Y Mg Cd
1 1 1 1
Direct
0.0000 0.0000 0.0000
0.5000 0.5000 0.5000
0.2500 0.2500 0.2500
0.7500 0.7500 0.7500
```

Calculated values
Magnetization = 0.00 μB/atom
Distance to the lowest polymorph of the same formula = 7 meV per atom
ρ = 3.96 g cm⁻³
Calculated formation energy = -216 meV per atom

No. 24
This record from Alexandria describes crystalline TbPr6Sm2 at its relaxed geometry. The functional is PBE-GGA.

```
TbPr6Sm2
1.0
8.3437 0.0000 0.0000
0.0000 8.3437 0.0000
0.0000 0.0000 10.6430
Tb Pr Sm
2 12 4
Direct
0.0000 0.0000 0.0000
0.5000 0.5000 0.5000
0.2381 0.2381 0.1669
0.2384 0.2384 0.5000
0.2381 0.2381 0.8331
0.2616 0.7384 0.0000
0.2619 0.7381 0.3331
0.2619 0.7381 0.6669
0.7384 0.2616 0.0000
0.7381 0.2619 0.3331
0.7381 0.2619 0.6669
0.7619 0.7619 0.1669
0.7616 0.7616 0.5000
0.7619 0.7619 0.8331
0.0000 0.0000 0.3324
0.0000 0.0000 0.6676
0.5000 0.5000 0.1676
0.5000 0.5000 0.8324
```

Calculated values
Magnetization = 0.00 μB/atom
Distance to the lowest polymorph of the same formula = 457 meV per atom
ρ = 5.85 g cm⁻³
Calculated formation energy = 584 meV per atom

No. 25
This record from Alexandria describes crystalline ThZrAgHg at its relaxed geometry. The functional is PBE-GGA.

```
ThZrAgHg
1.0
0.0000 3.6571 3.6571
3.6571 0.0000 3.6571
3.6571 3.6571 0.0000
Th Zr Ag Hg
1 1 1 1
Direct
0.0000 0.0000 0.0000
0.5000 0.5000 0.5000
0.2500 0.2500 0.2500
0.7500 0.7500 0.7500
```

Calculated values
Magnetization = 0.00 μB/atom
ρ = 10.72 g cm⁻³
Calculated formation energy = -15 meV per atom